The following is a PBE calculation of a relaxed structure of PuGa3Pd, from Alexandria.

Structure (CIF):
```
data_PuGa3Pd
_cell_length_a 4.262
_cell_length_b 4.262
_cell_length_c 6.145
_cell_angle_alpha 110.29
_cell_angle_beta 110.29
_cell_angle_gamma 90.00
_space_group_name_H-M_alt 'P 1'
_space_group_IT_number 1
_space_group_name_Hall 'P 1'
loop_
_atom_site_label
_atom_site_type_symbol
_atom_site_fract_x
_atom_site_fract_y
_atom_site_fract_z
Ga1 Ga 0.414 0.414 0.828
Ga2 Ga 0.766 0.266 0.532
Ga3 Ga 0.266 0.766 0.532
Pd1 Pd 0.642 0.642 0.285
Pu1 Pu 0.002 0.002 0.003
```

N(E_F)	12.7	states/eV/cell
calculated total energy	-6.20	eV per atom
formation enthalpy at 0 K	-481	meV/atom